[1]
Compound: Pa2CrTc
Source: Alexandria
Functional: PBE-GGA
Structure: relaxed

Cell and atoms, written as POSCAR:
```
Pa2CrTc
1.0
-1.599 2.913 -0.358
-3.073 0.069 -1.313
-4.827 0.135 7.047
Pa Tc Cr
2 1 1
direct
0.748 0.748 0.756 Pa
0.252 0.252 0.244 Pa
0.500 0.500 0.500 Tc
0.000 0.000 0.000 Cr
```

Calculated values
- symmetry = R-3m (166)
- DFT formation energy (meV/atom) = 398.5

---

[2]
Compound: TmPaCrTc
Source: Alexandria
Functional: PBE-GGA
Structure: relaxed

Cell and atoms, written as POSCAR:
```
TmPaCrTc
1.0
4.821 0.000 0.000
2.410 4.175 0.000
2.410 1.392 3.936
Cr Pa Tc Tm
1 1 1 1
direct
0.750 0.750 0.750 Cr
0.000 0.000 0.000 Pa
0.250 0.250 0.250 Tc
0.500 0.500 0.500 Tm
```

Calculated values
- symmetry = F-43m (216)
- DFT formation energy (meV/atom) = 69.4

---

[3]
Compound: PaZnCrTc
Source: Alexandria
Functional: PBE-GGA
Structure: relaxed

Cell and atoms, written as POSCAR:
```
PaZnCrTc
1.0
-0.668 1.515 -4.241
-4.234 0.585 -1.569
-1.613 4.202 -0.689
Tc Pa Cr Zn
1 1 1 1
direct
0.250 0.250 0.250 Tc
0.000 0.000 0.000 Pa
0.750 0.750 0.750 Cr
0.500 0.500 0.500 Zn
```

Calculated values
- symmetry = F-43m (216)
- DFT formation energy (meV/atom) = 44.4

---

[4]
Compound: ZrPaCrTc
Source: Alexandria
Functional: PBE-GGA
Structure: relaxed

Cell and atoms, written as POSCAR:
```
ZrPaCrTc
1.0
4.714 0.000 0.000
2.357 4.082 0.000
2.357 1.361 3.849
Zr Pa Tc Cr
1 1 1 1
direct
0.250 0.250 0.250 Zr
0.750 0.750 0.750 Pa
0.500 0.500 0.500 Tc
0.000 0.000 0.000 Cr
```

Calculated values
- symmetry = F-43m (216)
- DFT formation energy (meV/atom) = -32.6

---

[5]
Compound: PaCrTe3
Source: Alexandria
Functional: PBE-GGA
Structure: relaxed

Cell and atoms, written as POSCAR:
```
PaCrTe3
1.0
4.111 -0.001 -0.002
-2.053 7.582 0.511
0.004 0.168 9.007
Cr Pa Te
2 2 6
direct
0.829 0.691 0.845 Cr
0.215 0.463 0.577 Cr
0.416 0.866 0.302 Pa
0.628 0.288 0.120 Pa
0.064 0.162 0.387 Te
0.280 0.593 0.046 Te
0.387 0.808 0.659 Te
0.980 0.992 0.035 Te
0.657 0.346 0.762 Te
0.764 0.561 0.375 Te
```

Calculated values
- symmetry = C2/m (12)
- formation energy without anion corrections (eV/atom) = -0.54

---

[6]
Compound: Pa2CrTe
Source: Alexandria
Functional: PBE-GGA
Structure: relaxed

Cell and atoms, written as POSCAR:
```
Pa2CrTe
1.0
-1.545 1.263 2.573
-0.525 -1.828 2.643
8.097 2.797 5.550
Pa Te Cr
2 1 1
direct
0.922 0.922 0.233 Pa
0.078 0.078 0.767 Pa
0.500 0.500 0.500 Te
0.000 0.000 0.000 Cr
```

Calculated values
- symmetry = R-3m (166)
- formation energy without anion corrections (eV/atom) = 0.35

---

[7]
Compound: PaTl3Cr2Te6
Source: Alexandria
Functional: PBE-GGA
Structure: relaxed

Cell and atoms, written as POSCAR:
```
PaTl3Cr2Te6
1.0
7.217 0.004 0.012
-3.603 6.253 0.012
-1.226 -2.123 8.319
Tl Cr Te Pa
3 2 6 1
direct
0.500 0.500 0.500 Tl
0.159 0.841 0.500 Tl
0.841 0.159 0.500 Tl
0.333 0.667 0.000 Cr
0.667 0.333 0.000 Cr
0.934 0.580 0.802 Te
0.580 0.934 0.802 Te
0.290 0.290 0.806 Te
0.710 0.710 0.194 Te
0.420 0.066 0.198 Te
0.066 0.420 0.198 Te
0.000 0.000 0.000 Pa
```

Calculated values
- symmetry = C2/m (12)
- formation energy without anion corrections (eV/atom) = -0.38

---

[8]
Compound: ThPaCr4
Source: Alexandria
Functional: PBE-GGA
Structure: relaxed

Cell and atoms, written as POSCAR:
```
ThPaCr4
1.0
5.206 0.000 0.000
2.603 4.509 0.000
2.603 1.503 4.251
Th Cr Pa
1 4 1
direct
0.000 0.000 0.000 Th
0.126 0.625 0.625 Cr
0.625 0.126 0.625 Cr
0.625 0.625 0.625 Cr
0.625 0.625 0.126 Cr
0.250 0.250 0.250 Pa
```

Calculated values
- symmetry = F-43m (216)
- DFT formation energy (meV/atom) = 247.0

---

[9]
Compound: PaTi2Cr
Source: Alexandria
Functional: PBE-GGA
Structure: relaxed

Cell and atoms, written as POSCAR:
```
PaTi2Cr
1.0
3.046 0.000 0.000
0.000 3.046 0.000
0.000 0.000 7.639
Ti Cr Pa
2 1 1
direct
0.000 0.000 0.811 Ti
0.000 0.000 0.189 Ti
0.500 0.500 0.000 Cr
0.500 0.500 0.500 Pa
```

Calculated values
- symmetry = P4/mmm (123)
- DFT formation energy (meV/atom) = 94.4

---

[10]
Compound: PaTi2Cr
Source: Alexandria
Functional: PBE-GGA
Structure: relaxed

Cell and atoms, written as POSCAR:
```
PaTi2Cr
1.0
2.957 0.000 0.000
1.479 2.561 0.000
1.479 0.854 9.399
Ti Cr Pa
2 1 1
direct
0.899 0.899 0.304 Ti
0.101 0.101 0.696 Ti
0.500 0.500 0.500 Cr
0.000 0.000 0.000 Pa
```

Calculated values
- symmetry = R-3m (166)
- DFT formation energy (meV/atom) = 290.0

---

[11]
Compound: Pa2TiCr
Source: Alexandria
Functional: PBE-GGA
Structure: relaxed

Cell and atoms, written as POSCAR:
```
Pa2TiCr
1.0
2.992 0.000 0.000
1.496 2.591 0.000
1.496 0.864 10.330
Cr Pa Ti
1 2 1
direct
0.500 0.500 0.500 Cr
0.911 0.911 0.268 Pa
0.089 0.089 0.732 Pa
0.000 0.000 0.000 Ti
```

Calculated values
- symmetry = R-3m (166)
- DFT formation energy (meV/atom) = 460.3

---

[12]
Compound: PaTiVCr
Source: Alexandria
Functional: PBE-GGA
Structure: relaxed

Cell and atoms, written as POSCAR:
```
PaTiVCr
1.0
4.510 0.000 0.000
2.255 3.906 0.000
2.255 1.302 3.682
V Cr Pa Ti
1 1 1 1
direct
0.000 0.000 0.000 V
0.500 0.500 0.500 Cr
0.250 0.250 0.250 Pa
0.750 0.750 0.750 Ti
```

Calculated values
- symmetry = F-43m (216)
- DFT formation energy (meV/atom) = 54.6